No. 1
## Na3Bi4Pd2 (PBE)

Data for Na3Bi4Pd2 after structural relaxation.

Summary:
**Distance to the lowest polymorph of the same formula**: 0.000 eV per atom
**Total moment**: 0.00 μB per cell
**ΔH_f (0 K)**: -264 meV/atom
**Theoretical density**: 7.43 Mg/m³
**D(E_F)**: 1.5 states/eV per cell

a b c (Å): 4.475 6.217 9.633
angles (deg): 93.23 90.15 110.98
Fractional positions:
Na  0.000  0.000  0.000
Na  0.355  0.707  0.564
Na  0.645  0.293  0.436
Bi  0.066  0.134  0.667
Bi  0.299  0.601  0.891
Bi  0.701  0.399  0.109
Bi  0.934  0.866  0.333
Pd  0.342  0.684  0.184
Pd  0.658  0.316  0.816

=====

No. 2
## Pr5Dy6Tm2 (PBE)

Data for Pr5Dy6Tm2 after structural relaxation.

Summary:
**Total moment**: 0.00 μB per cell
**ΔH_f (0 K)**: 95 meV/atom
**Theoretical density**: 7.69 Mg/m³
**D(E_F)**: 31.4 states/eV per cell

a b c (Å): 11.668 20.662 3.613
angles (deg): 90.00 90.00 90.00
Fractional positions:
Pr  0.000  0.000  0.000
Pr  0.083  0.273  0.000
Pr  0.198  0.552  0.000
Pr  0.302  0.052  0.000
Pr  0.417  0.773  0.000
Pr  0.500  0.500  0.000
Pr  0.583  0.227  0.000
Pr  0.698  0.948  0.000
Pr  0.802  0.448  0.000
Pr  0.917  0.727  0.000
Dy  0.063  0.419  0.500
Dy  0.081  0.132  0.500
Dy  0.175  0.861  0.000
Dy  0.325  0.361  0.000
Dy  0.419  0.632  0.500
Dy  0.437  0.919  0.500
Dy  0.563  0.081  0.500
Dy  0.581  0.368  0.500
Dy  0.675  0.639  0.000
Dy  0.825  0.139  0.000
Dy  0.919  0.868  0.500
Dy  0.937  0.581  0.500
Tm  0.172  0.711  0.500
Tm  0.328  0.211  0.500
Tm  0.672  0.789  0.500
Tm  0.828  0.289  0.500

=====

No. 3
## CeZn5Pd2 (PBE)

Data for CeZn5Pd2 after structural relaxation.

Summary:
**Total moment**: 0.66 μB per cell
**ΔH_f (0 K)**: -395 meV/atom
**Theoretical density**: 7.88 Mg/m³
**D(E_F)**: 8.4 states/eV per cell

a b c (Å): 6.383 6.383 6.383
angles (deg): 143.54 107.15 84.31
Fractional positions:
Ce  0.000  0.000  0.000
Zn  0.174  0.354  0.819
Zn  0.465  0.646  0.819
Zn  0.500  0.000  0.500
Zn  0.535  0.354  0.181
Zn  0.826  0.646  0.181
Pd  0.232  0.732  0.500
Pd  0.768  0.268  0.500

=====

No. 4
## TcOsPb2 (PBE)

Data for TcOsPb2 after structural relaxation.

Summary:
**Distance to the lowest polymorph of the same formula**: 0.719 eV per atom
**Total moment**: 0.61 μB per cell
**ΔH_f (0 K)**: 1083 meV/atom
**Theoretical density**: 14.67 Mg/m³
**D(E_F)**: 4.6 states/eV per cell

a b c (Å): 4.827 4.827 4.827
angles (deg): 60.00 60.00 60.00
Fractional positions:
Tc  0.000  0.000  0.000
Os  0.750  0.750  0.750
Pb  0.250  0.250  0.250
Pb  0.500  0.500  0.500

=====

No. 5
## TbPmCdGe (PBE)

Data for TbPmCdGe after structural relaxation.

Summary:
**Total moment**: 0.00 μB per cell
**ΔH_f (0 K)**: -483 meV/atom
**Theoretical density**: 8.09 Mg/m³
**D(E_F)**: 3.3 states/eV per cell

a b c (Å): 5.217 5.217 5.217
angles (deg): 60.00 60.00 60.00
Fractional positions:
Tb  0.000  0.000  0.000
Pm  0.500  0.500  0.500
Cd  0.250  0.250  0.250
Ge  0.750  0.750  0.750

=====

No. 6
## FeSb4Au (PBE)

Data for FeSb4Au after structural relaxation.

Summary:
**Distance to the lowest polymorph of the same formula**: 0.000 eV per atom
**Total moment**: 1.54 μB per cell
**Theoretical density**: 8.88 Mg/m³
**D(E_F)**: 8.6 states/eV per cell

a b c (Å): 6.528 6.497 6.525
angles (deg): 90.00 91.71 90.00
Fractional positions:
Fe  0.000  0.000  0.000
Fe  0.000  0.500  0.500
Sb  0.096  0.142  0.646
Sb  0.096  0.358  0.146
Sb  0.354  0.618  0.611
Sb  0.354  0.882  0.111
Sb  0.646  0.118  0.889
Sb  0.646  0.382  0.389
Sb  0.904  0.642  0.854
Sb  0.904  0.858  0.354
Au  0.500  0.000  0.500
Au  0.500  0.500  0.000

=====

No. 7
## Tm2Ni3P4 (PBE)

Data for Tm2Ni3P4 after structural relaxation.

Summary:
**Total moment**: 0.00 μB per cell
**ΔH_f (0 K)**: -870 meV/atom
**Theoretical density**: 8.09 Mg/m³
**D(E_F)**: 10.6 states/eV per cell

a b c (Å): 7.638 7.638 6.909
angles (deg): 90.00 90.00 139.48
Fractional positions:
Tm  0.114  0.886  0.914
Tm  0.386  0.614  0.414
Tm  0.614  0.386  0.586
Tm  0.886  0.114  0.086
Ni  0.000  0.000  0.500
Ni  0.038  0.462  0.750
Ni  0.462  0.038  0.250
Ni  0.500  0.500  0.000
Ni  0.538  0.962  0.750
Ni  0.962  0.538  0.250
P  0.195  0.805  0.545
P  0.200  0.300  0.750
P  0.300  0.200  0.250
P  0.305  0.695  0.045
P  0.695  0.305  0.955
P  0.700  0.800  0.750
P  0.800  0.700  0.250
P  0.805  0.195  0.455

=====

No. 8
## PmTlZn2 (PBE)

Data for PmTlZn2 after structural relaxation.

Summary:
**Total moment**: 0.00 μB per cell
**ΔH_f (0 K)**: -78 meV/atom
**Theoretical density**: 8.33 Mg/m³
**D(E_F)**: 2.4 states/eV per cell

a b c (Å): 4.544 4.690 4.690
angles (deg): 73.22 90.00 90.00
Fractional positions:
Pm  0.000  0.000  0.000
Tl  0.500  0.666  0.666
Zn  0.000  0.407  0.407
Zn  0.500  0.280  0.280

=====

No. 9
## In4BiPb2 (PBE)

Data for In4BiPb2 after structural relaxation.

Summary:
**Distance to the lowest polymorph of the same formula**: 0.000 eV per atom
**Total moment**: 0.00 μB per cell
**ΔH_f (0 K)**: 30 meV/atom
**Theoretical density**: 8.72 Mg/m³
**D(E_F)**: 3.6 states/eV per cell

a b c (Å): 19.857 19.857 19.857
angles (deg): 10.03 10.03 10.03
Fractional positions:
In  0.144  0.144  0.144
In  0.285  0.285  0.285
In  0.715  0.715  0.715
In  0.856  0.856  0.856
Bi  0.000  0.000  0.000
Pb  0.430  0.430  0.430
Pb  0.570  0.570  0.570

=====

No. 10
## Na5Zn2Bi5 (PBE)

Data for Na5Zn2Bi5 after structural relaxation.

Summary:
**Distance to the lowest polymorph of the same formula**: 0.000 eV per atom
**Total moment**: 0.00 μB per cell
**ΔH_f (0 K)**: -191 meV/atom
**Theoretical density**: 5.92 Mg/m³
**D(E_F)**: 4.4 states/eV per cell

a b c (Å): 8.705 8.705 12.523
angles (deg): 128.12 128.12 29.70
Fractional positions:
Na  0.000  0.000  0.000
Na  0.121  0.121  0.433
Na  0.220  0.220  0.856
Na  0.780  0.780  0.144
Na  0.879  0.879  0.567
Zn  0.362  0.362  0.736
Zn  0.638  0.638  0.264
Bi  0.247  0.247  0.302
Bi  0.446  0.446  0.186
Bi  0.500  0.500  0.500
Bi  0.554  0.554  0.814
Bi  0.753  0.753  0.698

=====

No. 11
## AcTb2Dy2Ho2 (PBE)

Data for AcTb2Dy2Ho2 after structural relaxation.

Summary:
**Total moment**: 0.00 μB per cell
**ΔH_f (0 K)**: 45 meV/atom
**Theoretical density**: 8.58 Mg/m³
**D(E_F)**: 10.3 states/eV per cell

a b c (Å): 6.239 6.239 8.082
angles (deg): 97.60 97.60 48.21
Fractional positions:
Ac  0.000  0.000  0.000
Tb  0.285  0.285  0.850
Tb  0.715  0.715  0.150
Dy  0.143  0.143  0.434
Dy  0.857  0.857  0.566
Ho  0.426  0.426  0.292
Ho  0.574  0.574  0.708

=====

No. 12
## LiNiI (PBE)

Data for LiNiI after structural relaxation.

Summary:
**Distance to the lowest polymorph of the same formula**: 0.418 eV per atom
**Total moment**: 0.00 μB per cell
**Theoretical density**: 3.53 Mg/m³
**D(E_F)**: 0.0 states/eV per cell

a b c (Å): 4.716 4.716 9.400
angles (deg): 90.00 90.00 120.00
Fractional positions:
Li  0.333  0.667  0.250
Li  0.667  0.333  0.750
Ni  0.000  0.000  0.000
Ni  0.000  0.000  0.500
I  0.000  0.000  0.250
I  0.000  0.000  0.750

=====

No. 13
## SmZrRuPt (PBE)

Data for SmZrRuPt after structural relaxation.

Summary:
**Total moment**: 0.00 μB per cell
**ΔH_f (0 K)**: -618 meV/atom
**Theoretical density**: 11.22 Mg/m³
**D(E_F)**: 2.4 states/eV per cell

a b c (Å): 4.828 4.828 4.828
angles (deg): 60.00 60.00 60.00
Fractional positions:
Sm  0.000  0.000  0.000
Zr  0.500  0.500  0.500
Ru  0.250  0.250  0.250
Pt  0.750  0.750  0.750